Material: Ti2GeSbS
Method: DFT, PBE
State: optimized geometry

Unit cell a=4.5237 b=4.5237 c=5.3365 alpha=90.00 beta=90.00 gamma=90.00
Positions (direct):
Ti 0.0000 0.5000 0.0000
Ti 0.5000 0.0000 0.0000
Ge 0.0000 0.0000 0.5000
Sb 0.5000 0.5000 0.5000
S 0.5000 0.5000 0.0000

Properties
Its density of states at the Fermi level is 5.0 states/eV/cell. The formation energy without anion corrections comes out at 133 meV per atom. The space-group type is No. 123. The calculation puts the total DFT energy (no corrections) at -5.60 eV/atom.